Entry 1:
Entry from Alexandria via LeMat-Bulk: a relaxed TmAsIr crystal (PBE).

abc: 6.8405 4.0591 11.8477
angles: 90.00 92.00 90.00
Space group P2_1/m (No. 11)
One atom of each set of equivalent atoms:
Tm 0.0204 0.2500 0.2059 (multiplicity 2)
Tm 0.3466 0.7500 0.5776 (multiplicity 2)
Tm 0.4774 0.7500 0.8785 (multiplicity 2)
As 0.2165 0.7500 0.0774 (multiplicity 2)
As 0.2264 0.2500 0.4184 (multiplicity 2)
As 0.2726 0.2500 0.7464 (multiplicity 2)
Ir 0.9998 0.2500 0.5929 (multiplicity 2)
Ir 0.1808 0.2500 0.9522 (multiplicity 2)
Ir 0.3620 0.7500 0.2933 (multiplicity 2)

Crystal system: monoclinic

Entry 2:
Entry from Alexandria via LeMat-Bulk: a relaxed NaTcHg2 crystal (PBE).

abc: 4.5861 4.5861 18.9428
angles: 90.00 90.00 90.00
Space group I-42d (No. 122)
One atom of each set of equivalent atoms:
Na 0.0000 0.0000 0.0000 (multiplicity 4)
Tc 0.0000 0.0000 0.5000 (multiplicity 4)
Hg 0.2185 0.2500 0.6250 (multiplicity 8)

Crystal system: tetragonal

Entry 3:
Entry from Alexandria via LeMat-Bulk: a relaxed Ru5Pb crystal (PBE).

abc: 7.2980 7.2980 7.2980
angles: 90.00 90.00 90.00
Space group F-43m (No. 216)
One atom of each set of equivalent atoms:
Ru 0.0000 0.0000 0.0000 (multiplicity 4)
Ru 0.1258 0.1258 0.3742 (multiplicity 16)
Pb 0.2500 0.2500 0.7500 (multiplicity 4)

Crystal system: cubic

In the order shown, the computed energy of formation values come out to -958 815 740 meV per atom.